No. 1
BaCaCd | GGA-PBE | optimized geometry Values from VASP.

Cell and atoms, written as Quantum ESPRESSO input:
```
&SYSTEM
  ibrav = 0, nat = 6, ntyp = 3
/
ATOMIC_SPECIES
Ba 137.33 Ba.upf
Ca 40.08 Ca.upf
Cd 112.41 Cd.upf
CELL_PARAMETERS angstrom
5.707 0.000 0.000
0.000 5.707 0.000
0.000 0.000 8.090
ATOMIC_POSITIONS angstrom
Ba 0.000 0.000 0.000
Ba 2.854 2.854 4.045
Ca 0.000 0.000 4.045
Ca 2.854 2.854 0.000
Cd 0.000 2.854 2.022
Cd 2.854 0.000 6.067
```

## Properties
- energy above the lowest structure with this stoichiometry (eV/f.u.) = 0.37
- space-group type = No. 119
- electronic total energy (eV/atom) = -1.706
- size of the total moment (μB/cell) = 0.00
- calculated density (g/cm3) = 3.7


No. 2
Ba4CaCd | GGA-PBE | optimized geometry Values from VASP.

Cell and atoms, written as Quantum ESPRESSO input:
```
&SYSTEM
  ibrav = 0, nat = 6, ntyp = 3
/
ATOMIC_SPECIES
Ba 137.33 Ba.upf
Ca 40.08 Ca.upf
Cd 112.41 Cd.upf
CELL_PARAMETERS angstrom
4.357 0.000 0.000
0.000 4.357 0.000
0.000 0.000 16.423
ATOMIC_POSITIONS angstrom
Ba 0.000 0.000 2.012
Ba 0.000 0.000 14.411
Ba 2.178 2.178 5.418
Ba 2.178 2.178 11.005
Ca 0.000 0.000 8.211
Cd 2.178 2.178 0.000
```

## Properties
- energy above the lowest structure with this stoichiometry (eV/f.u.) = 0.00
- space-group type = No. 123
- electronic total energy (eV/atom) = -1.859
- size of the total moment (μB/cell) = 0.00
- calculated density (g/cm3) = 3.7


No. 3
BaCa2Cd9 | GGA-PBE | optimized geometry Values from VASP.

Cell and atoms, written as Quantum ESPRESSO input:
```
&SYSTEM
  ibrav = 0, nat = 12, ntyp = 3
/
ATOMIC_SPECIES
Ba 137.33 Ba.upf
Ca 40.08 Ca.upf
Cd 112.41 Cd.upf
CELL_PARAMETERS angstrom
3.090 1.784 9.604
-3.090 1.784 9.604
0.000 -3.568 9.604
ATOMIC_POSITIONS angstrom
Ba 0.000 0.000 0.000
Ca 0.000 0.000 4.172
Ca 0.000 0.000 24.640
Cd -1.593 -0.920 12.083
Cd 0.000 0.000 9.676
Cd 0.000 -1.840 16.730
Cd -1.593 0.920 16.730
Cd 0.000 0.000 14.406
Cd 1.593 -0.920 12.083
Cd 0.000 1.840 12.083
Cd 0.000 0.000 19.137
Cd 1.593 0.920 16.730
```

## Properties
- space-group type = No. 166
- electronic total energy (eV/atom) = -1.460
- size of the total moment (μB/cell) = 0.00
- calculated density (g/cm3) = 6.4


No. 4
BaCaCd11 | GGA-PBE | optimized geometry Values from VASP.

Cell and atoms, written as Quantum ESPRESSO input:
```
&SYSTEM
  ibrav = 0, nat = 13, ntyp = 3
/
ATOMIC_SPECIES
Ba 137.33 Ba.upf
Ca 40.08 Ca.upf
Cd 112.41 Cd.upf
CELL_PARAMETERS angstrom
3.175 -7.079 0.000
3.175 7.079 0.000
-3.096 0.000 7.473
ATOMIC_POSITIONS angstrom
Ba 0.000 0.000 0.000
Ca -1.548 0.000 3.737
Cd 1.587 3.540 0.000
Cd 0.188 2.578 2.603
Cd 0.119 1.549 5.900
Cd 0.188 -2.578 2.603
Cd 3.135 1.549 1.574
Cd 1.587 -3.540 0.000
Cd 1.627 0.000 3.737
Cd 0.119 -1.549 5.900
Cd 3.066 2.578 4.870
Cd 3.135 -1.549 1.574
Cd 3.066 -2.578 4.870
```

## Properties
- space-group type = No. 12
- electronic total energy (eV/atom) = -1.236
- size of the total moment (μB/cell) = 0.00
- calculated density (g/cm3) = 7.0


Number 1: ΔH_f (0 K) -9 kJ per mole of atoms, DOS(E_F) 9.2 states/eV/cell. Number 2: ΔH_f (0 K) -9 kJ per mole of atoms, DOS(E_F) 8.5 states/eV/cell. Number 3: ΔH_f (0 K) -27 kJ per mole of atoms, DOS(E_F) 7.7 states/eV/cell. Number 4: ΔH_f (0 K) -15 kJ per mole of atoms, DOS(E_F) 5.8 states/eV/cell.